An optimized crystal structure of TaCdP. Source: the Alexandria database, functional PBE-GGA.

Results
DFT formation energy in meV/atom: 81
Relative energy among the computed polymorphs in eV/atom: 0.448

a b c (Å): 3.2812 3.2812 6.2965
angles (deg): 90.00 90.00 120.00
Fractional positions:
Cd1 0.0000 0.0000 0.0039
P1 0.6667 0.3333 0.3747
Ta1 0.3333 0.6667 0.6213

***

An optimized crystal structure of LaNd2RuO8. Source: the Alexandria database, functional PBE-GGA.

Results
ΔE_f (raw) in eV per atom: -2.297

a b c (Å): 5.1966 5.2103 7.0817
angles (deg): 89.99 89.98 89.88
Fractional positions:
La1 0.0000 0.0000 0.5000
Nd1 0.4995 0.4995 0.7527
Nd2 0.5005 0.5005 0.2473
Ru1 0.0000 0.0000 0.0000
O1 0.1800 0.8200 0.1996
O2 0.7435 0.7432 0.9994
O3 0.8191 0.1791 0.1997
O4 0.8200 0.1800 0.8004
O5 0.2565 0.2568 0.0006
O6 0.1809 0.8209 0.8003
O7 0.6892 0.6878 0.5003
O8 0.3108 0.3122 0.4997

***

An optimized crystal structure of LuPu2Th. Source: the Alexandria database, functional PBE-GGA.

Results
DFT formation energy in meV/atom: 223
Relative energy among the computed polymorphs in eV/atom: 0.075

a b c (Å): 5.4560 5.4560 5.4560
angles (deg): 60.00 60.00 60.00
Fractional positions:
Lu1 0.5000 0.5000 0.5000
Th1 0.0000 0.0000 0.0000
Pu1 0.2500 0.2500 0.2500
Pu2 0.7500 0.7500 0.7500

***

An optimized crystal structure of NaPdF6. Source: the Alexandria database, functional PBE-GGA.

Results
ΔE_f (raw) in eV per atom: -1.530

a b c (Å): 5.0558 5.0558 5.2297
angles (deg): 96.72 96.72 112.99
Fractional positions:
Na1 0.0000 0.0000 0.0000
Pd1 0.5000 0.5000 0.5000
F1 0.5269 0.8393 0.7291
F2 0.8393 0.5269 0.7291
F3 0.1607 0.4731 0.2709
F4 0.4731 0.1607 0.2709
F5 0.2543 0.2543 0.7035
F6 0.7457 0.7457 0.2965

***

An optimized crystal structure of NaMgBe2Tc. Source: the Alexandria database, functional PBE-GGA.

Results
DFT formation energy in meV/atom: 1501

a b c (Å): 4.5609 4.7440 4.5609
angles (deg): 90.00 90.00 90.00
Fractional positions:
Na1 0.5000 0.5000 0.5000
Mg1 0.0000 0.0000 0.0000
Tc1 0.0000 0.5000 0.0000
Be1 0.0000 0.0000 0.5000
Be2 0.5000 0.0000 0.0000

***

An optimized crystal structure of LiCeSb2. Source: the Alexandria database, functional PBE-GGA.

Results
Relative energy among the computed polymorphs in eV/atom: 0.109
ΔE_f (raw) in eV per atom: -0.708

a b c (Å): 4.1883 4.8993 4.8993
angles (deg): 90.00 90.00 90.00
Fractional positions:
Sb1 0.0000 0.0000 0.5000
Sb2 0.0000 0.5000 0.0000
Ce1 0.5000 0.5000 0.5000
Li1 0.5000 0.0000 0.0000

***

An optimized crystal structure of Tm6Tl2Ag. Source: the Alexandria database, functional PBE-GGA.

Results
DFT formation energy in meV/atom: -194

a b c (Å): 5.0034 9.8689 9.8691
angles (deg): 90.00 90.01 90.00
Fractional positions:
Tm1 0.0000 0.0220 0.1761
Tm2 0.0000 0.6760 0.5222
Tm3 0.0000 0.6231 0.8774
Tm4 0.5000 0.1231 0.6226
Tm5 0.5000 0.1760 0.9778
Tm6 0.5000 0.5220 0.3239
Tm7 0.0000 0.9780 0.8239
Tm8 0.0000 0.3240 0.4778
Tm9 0.0000 0.3769 0.1226
Tm10 0.5000 0.8769 0.3774
Tm11 0.5000 0.8240 0.0222
Tm12 0.5000 0.4780 0.6761
Tl1 0.0000 0.2972 0.7969
Tl2 0.5000 0.7972 0.7031
Tl3 0.5000 0.2028 0.2969
Tl4 0.0000 0.7028 0.2031
Ag1 0.5000 0.5000 0.0000
Ag2 0.0000 0.0000 0.5000

***

An optimized crystal structure of PrNdIn3. Source: the Alexandria database, functional PBE-GGA.

Results
DFT formation energy in meV/atom: -262
Relative energy among the computed polymorphs in eV/atom: 0.000

a b c (Å): 9.8380 9.8380 9.8380
angles (deg): 36.33 36.33 36.33
Fractional positions:
Pr1 0.3092 0.3092 0.3092
Pr2 0.6908 0.6908 0.6908
Nd1 0.1909 0.1909 0.1909
Nd2 0.8091 0.8091 0.8091
In1 0.2509 0.2509 0.7507
In2 0.2509 0.7507 0.2509
In3 0.2493 0.7491 0.7491
In4 0.7491 0.2493 0.7491
In5 0.7491 0.7491 0.2493
In6 0.7507 0.2509 0.2509

***

An optimized crystal structure of BaLiCa2Ga. Source: the Alexandria database, functional PBE-GGA.

Results
DFT formation energy in meV/atom: -59

a b c (Å): 5.9231 5.9231 5.3879
angles (deg): 90.00 90.00 90.00
Fractional positions:
Ca1 0.0000 0.5000 0.0000
Ca2 0.5000 0.0000 0.0000
Ba1 0.5000 0.5000 0.5000
Ga1 0.0000 0.0000 0.0000
Li1 0.0000 0.0000 0.5000

***

An optimized crystal structure of BeFeSb. Source: the Alexandria database, functional PBE-GGA.

Results
Relative energy among the computed polymorphs in eV/atom: 0.157
ΔE_f (raw) in eV per atom: 0.335

a b c (Å): 3.8415 3.8415 3.3310
angles (deg): 90.00 90.00 120.00
Fractional positions:
Sb1 0.6667 0.3333 0.6667
Fe1 0.3333 0.6667 0.1667
Be1 0.0000 0.0000 0.1667

***

An optimized crystal structure of Cd2Ag8Sn3. Source: the Alexandria database, functional PBE-GGA.

Results
DFT formation energy in meV/atom: 97

a b c (Å): 5.5868 5.5868 10.9207
angles (deg): 75.18 75.18 60.00
Fractional positions:
Cd1 0.6401 0.6401 0.0797
Cd2 0.3599 0.3599 0.9203
Ag1 0.7275 0.7275 0.8174
Ag2 0.2725 0.2725 0.1826
Ag3 0.2309 0.7315 0.3061
Ag4 0.7315 0.2309 0.3061
Ag5 0.7315 0.7315 0.3061
Ag6 0.2685 0.7691 0.6939
Ag7 0.7691 0.2685 0.6939
Ag8 0.2685 0.2685 0.6939
Sn1 0.0000 0.0000 0.0000
Sn2 0.8176 0.8176 0.5471
Sn3 0.1824 0.1824 0.4529

***

An optimized crystal structure of Sm6Er3Tm2Th. Source: the Alexandria database, functional PBE-GGA.

Results
DFT formation energy in meV/atom: 32

a b c (Å): 6.1866 6.1866 11.8347
angles (deg): 95.01 95.01 119.97
Fractional positions:
Sm1 0.9165 0.5860 0.7502
Sm2 0.7532 0.7532 0.2494
Sm3 0.0835 0.4140 0.2498
Sm4 0.5860 0.9165 0.7502
Sm5 0.2468 0.2468 0.7506
Sm6 0.4140 0.0835 0.2498
Er1 0.1669 0.8331 0.5000
Er2 0.8331 0.1669 0.5000
Er3 0.5000 0.5000 0.5000
Tm1 0.3333 0.6667 0.0000
Tm2 0.6667 0.3333 0.0000
Th1 0.0000 0.0000 0.0000

***

In eV/cell, the VASP energy values for the records above are, in order, -17.9; -91.0; -39.7; -30.0; -13.2; -18.9; -72.3; -38.1; -11.2; -15.3; -35.4; -58.0.
In μB/cell, the size of the total moment values for the records above are, in order, 0.000; 1.044; 13.360; 1.094; 1.728; 0.407; 0.589; 0.000; 0.000; 1.217; 0.000; 0.000.